Entry from Alexandria via LeMat-Bulk: a geometry-optimized ReTc2Pt structure (PBE-GGA).

Output
As for the final energy: -39.636 eV/cell. Its crystal system is tetragonal. Its symmetry is P4/mmm (123).

a b c (Å): 3.879 3.903 3.903
angles (deg): 90.00 90.00 90.00
Positions (direct):
Tc 0.000 0.500 0.000
Tc 0.000 0.000 0.500
Re 0.500 0.000 0.000
Pt 0.500 0.500 0.500

***

Entry from Alexandria via LeMat-Bulk: a geometry-optimized Pm3Ru structure (PBE-GGA).

Output
As for the final energy: -23.986 eV/cell. Its crystal system is orthorhombic. Its symmetry is Imm2 (44).

a b c (Å): 3.721 5.577 6.394
angles (deg): 115.86 106.92 90.00
Positions (direct):
Pm 0.695 0.099 0.390
Pm 0.500 0.402 0.000
Pm 0.305 0.709 0.610
Ru 0.000 0.957 0.000

***

Entry from Alexandria via LeMat-Bulk: a geometry-optimized Pa2AsP structure (PBE-GGA).

Output
As for the final energy: -33.236 eV/cell. Its crystal system is trigonal. Its symmetry is R3m (160).

a b c (Å): 3.883 3.883 7.510
angles (deg): 75.02 75.02 60.00
Positions (direct):
Pa 0.077 0.077 0.770
Pa 0.257 0.257 0.229
P 0.668 0.668 0.997
As 0.499 0.499 0.504

***

Entry from Alexandria via LeMat-Bulk: a geometry-optimized LaVAs2 structure (PBE-GGA).

Output
As for the final energy: -50.236 eV/cell. Its crystal system is tetragonal. Its symmetry is I-42d (122).

a b c (Å): 5.977 5.977 7.809
angles (deg): 67.50 67.50 90.00
Positions (direct):
As 0.546 0.125 0.250
As 0.204 0.625 0.250
As 0.875 0.796 0.750
As 0.375 0.454 0.750
La 0.000 0.000 0.000
La 0.750 0.250 0.500
V 0.250 0.750 0.500
V 0.500 0.500 0.000